# 1
VASP calculation (PBE-GGA) on a relaxed structure of CuGeMoW.

Unit cell a=4.3827 b=4.3827 c=4.3827 alpha=60.00 beta=60.00 gamma=60.00
Positions (direct):
Cu (0.7500, 0.7500, 0.7500)
Ge (0.0000, 0.0000, 0.0000)
Mo (0.2500, 0.2500, 0.2500)
W (0.5000, 0.5000, 0.5000)

Summary:
Space group: F-43m, No. 216
Offset from the most stable computed form in meV per atom: 0.0

# 2
VASP calculation (PBE-GGA) on a relaxed structure of ZnCuGeMo.

Unit cell a=4.3358 b=4.3358 c=4.3358 alpha=60.00 beta=60.00 gamma=60.00
Positions (direct):
Cu (0.7500, 0.7500, 0.7500)
Ge (0.0000, 0.0000, 0.0000)
Mo (0.2500, 0.2500, 0.2500)
Zn (0.5000, 0.5000, 0.5000)

Summary:
Space group: F-43m, No. 216
Offset from the most stable computed form in meV per atom: 0.0

# 3
VASP calculation (PBE-GGA) on a relaxed structure of ZnCuGeMo.

Unit cell a=4.4304 b=4.4304 c=4.4304 alpha=60.00 beta=60.00 gamma=60.00
Positions (direct):
Cu (0.7500, 0.7500, 0.7500)
Ge (0.0000, 0.0000, 0.0000)
Mo (0.5000, 0.5000, 0.5000)
Zn (0.2500, 0.2500, 0.2500)

Summary:
Space group: F-43m, No. 216
Offset from the most stable computed form in meV per atom: 293.8

# 4
VASP calculation (PBE-GGA) on a relaxed structure of ZrCuGeMo.

Unit cell a=4.5180 b=4.5180 c=4.5180 alpha=60.00 beta=60.00 gamma=60.00
Positions (direct):
Cu (0.7500, 0.7500, 0.7500)
Ge (0.0000, 0.0000, 0.0000)
Mo (0.2500, 0.2500, 0.2500)
Zr (0.5000, 0.5000, 0.5000)

Summary:
Space group: F-43m, No. 216
Offset from the most stable computed form in meV per atom: 0.0

no.,magnetization (μB/atom)
1,0.0009
2,0.0128
3,0.5711
4,0.0006